## Ba2InSi (PBE)

Data for an optimized crystal structure of Ba2InSi.

The structure in CIF format:
```
data_Ba2InSi
_chemical_formula_sum 'Ba8 In4 Si4'
_space_group_name_H-M_alt 'F -4 3 m'
_space_group_IT_number 216
_space_group_name_Hall 'F -4 2 3'
_cell_length_a 8.198
_cell_length_b 8.198
_cell_length_c 8.198
_cell_angle_alpha 90.00
_cell_angle_beta 90.00
_cell_angle_gamma 90.00
loop_
_atom_site_label
_atom_site_type_symbol
_atom_site_fract_x
_atom_site_fract_y
_atom_site_fract_z
Ba1 Ba 0.000 0.000 0.000
Ba2 Ba 0.250 0.250 0.250
In1 In 0.000 0.000 0.500
Si1 Si 0.250 0.250 0.750
```

---

## Ba4InSi (PBE)

Data for an optimized crystal structure of Ba4InSi.

The structure in CIF format:
```
data_Ba4InSi
_chemical_formula_sum 'Ba16 In4 Si4'
_space_group_name_H-M_alt 'C 1 2/c 1'
_space_group_IT_number 15
_cell_length_a 10.581
_cell_length_b 15.575
_cell_length_c 7.471
_cell_angle_alpha 90.00
_cell_angle_beta 117.23
_cell_angle_gamma 90.00
loop_
_space_group_symop_operation_xyz
'x,y,z'
'-x,-y,-z'
'-x,y,-z+1/2'
'x,-y,z+1/2'
'x+1/2,y+1/2,z'
'-x+1/2,-y+1/2,-z'
'-x+1/2,y+1/2,-z+1/2'
'x+1/2,-y+1/2,z+1/2'
loop_
_atom_site_label
_atom_site_type_symbol
_atom_site_fract_x
_atom_site_fract_y
_atom_site_fract_z
Ba1 Ba 0.114 0.168 0.070
Ba2 Ba 0.214 0.436 0.309
In1 In 0.000 0.368 0.750
Si1 Si 0.000 0.001 0.250
```

Summary:
energy relative to the lowest polymorph listed for this composition = 0 meV/atom

---

no.,formation energy (no corrections) (meV/atom)
1,108.9
2,-255.7